NiSe2O | PBE+U | optimized geometry

Properties
- DFT total energy (eV/atom) = -3.499

Geometry as POSCAR:
```
NiSe2O
1.0
1.633 -2.099 5.921
2.576 -4.762 3.580
4.757 -1.843 4.013
O Ni Se
1 1 2
Cartesian
0.000 0.000 0.000 O
4.483 -4.352 6.757 Ni
0.927 -0.899 1.397 Se
8.039 -7.804 12.118 Se
```